A geometry-optimized Ga2HOs2 structure, computed with PBE-GGA.

Computed properties:
The final energy comes out at -57.74 eV per cell. Its space-group type is No. 127. For the relative energy among the computed polymorphs, the calculation gives 0.00 kcal/mol of atoms.

Structure (POSCAR):
```
Ga2HOs2
1.0
5.532 0.000 0.000
0.000 5.532 0.000
0.000 0.000 4.220
H Os Ga
2 4 4
direct
0.000 0.000 0.000
0.500 0.500 0.000
0.168 0.668 0.500
0.668 0.832 0.500
0.832 0.332 0.500
0.332 0.168 0.500
0.338 0.838 0.000
0.838 0.662 0.000
0.662 0.162 0.000
0.162 0.338 0.000
```